# 1
Below is crystalline NaCuReIr at its relaxed geometry, with properties calculated at the PBE level.

Computed properties:
As for the spin magnetization: 0.01 μB per cell. The calculation puts the total DFT energy (no corrections) at -6.018 eV per atom. For the energy above the most stable polymorph in this dataset, the calculation gives 0.077 eV per formula unit.

Lattice parameters (Å, degrees): 4.361 4.361 4.361 60.00 60.00 60.00
Element x y z (fractional)
1 Na 0.000 0.000 0.000
2 Cu 0.750 0.750 0.750
3 Re 0.500 0.500 0.500
4 Ir 0.250 0.250 0.250

---

# 2
Below is crystalline NaCuReIr at its relaxed geometry, with properties calculated at the PBE level.

Computed properties:
As for the spin magnetization: 0.00 μB per cell. The calculation puts the total DFT energy (no corrections) at -6.038 eV per atom. For the energy above the most stable polymorph in this dataset, the calculation gives 0.000 eV per formula unit.

Lattice parameters (Å, degrees): 4.338 4.338 4.338 60.00 60.00 60.00
Element x y z (fractional)
1 Na 0.000 0.000 0.000
2 Cu 0.750 0.750 0.750
3 Re 0.250 0.250 0.250
4 Ir 0.500 0.500 0.500

---

# 3
Below is crystalline NaCuIrS3 at its relaxed geometry, with properties calculated at the PBE level.

Computed properties:
As for the spin magnetization: 0.03 μB per cell. The calculation puts the total DFT energy (no corrections) at -4.788 eV per atom.

Lattice parameters (Å, degrees): 6.586 6.586 9.262 90.00 90.00 147.94
Element x y z (fractional)
1 Na 0.246 0.754 0.750
2 Na 0.754 0.246 0.250
3 Cu 0.460 0.540 0.250
4 Cu 0.540 0.460 0.750
5 Ir 0.000 0.000 0.000
6 Ir 0.000 0.000 0.500
7 S 0.074 0.926 0.250
8 S 0.376 0.624 0.037
9 S 0.376 0.624 0.463
10 S 0.624 0.376 0.537
11 S 0.624 0.376 0.963
12 S 0.926 0.074 0.750

---

# 4
Below is crystalline NaCu3IrS4 at its relaxed geometry, with properties calculated at the PBE level.

Computed properties:
As for the spin magnetization: 0.47 μB per cell. The calculation puts the total DFT energy (no corrections) at -4.333 eV per atom.

Lattice parameters (Å, degrees): 5.667 5.667 5.667 90.00 90.00 90.00
Element x y z (fractional)
1 Na 0.000 0.000 0.000
2 Cu 0.000 0.500 0.500
3 Cu 0.500 0.000 0.500
4 Cu 0.500 0.500 0.000
5 Ir 0.500 0.500 0.500
6 S 0.268 0.268 0.268
7 S 0.268 0.732 0.732
8 S 0.732 0.268 0.732
9 S 0.732 0.732 0.268

---

# 5
Below is crystalline NaCuTe2IrS at its relaxed geometry, with properties calculated at the PBE level.

Computed properties:
As for the spin magnetization: 0.04 μB per cell. The calculation puts the total DFT energy (no corrections) at -4.294 eV per atom.

Lattice parameters (Å, degrees): 7.143 7.143 9.748 90.00 90.00 148.08
Element x y z (fractional)
1 Na 0.241 0.759 0.750
2 Na 0.759 0.241 0.250
3 Cu 0.026 0.974 0.250
4 Cu 0.974 0.026 0.750
5 Te 0.133 0.867 0.032
6 Te 0.133 0.867 0.468
7 Te 0.867 0.133 0.532
8 Te 0.867 0.133 0.968
9 Ir 0.500 0.500 0.000
10 Ir 0.500 0.500 0.500
11 S 0.439 0.561 0.250
12 S 0.561 0.439 0.750

---

# 6
Below is crystalline NaCu3IrSe4 at its relaxed geometry, with properties calculated at the PBE level.

Computed properties:
As for the spin magnetization: 0.01 μB per cell. The calculation puts the total DFT energy (no corrections) at -4.006 eV per atom.

Lattice parameters (Å, degrees): 5.896 5.896 5.896 90.00 90.00 90.00
Element x y z (fractional)
1 Na 0.000 0.000 0.000
2 Cu 0.000 0.500 0.500
3 Cu 0.500 0.000 0.500
4 Cu 0.500 0.500 0.000
5 Ir 0.500 0.500 0.500
6 Se 0.265 0.265 0.265
7 Se 0.265 0.735 0.735
8 Se 0.735 0.265 0.735
9 Se 0.735 0.735 0.265

---

# 7
Below is crystalline NaCuTe2IrSe at its relaxed geometry, with properties calculated at the PBE level.

Computed properties:
As for the spin magnetization: 0.02 μB per cell. The calculation puts the total DFT energy (no corrections) at -4.205 eV per atom.

Lattice parameters (Å, degrees): 7.110 7.110 10.069 90.00 90.00 147.72
Element x y z (fractional)
1 Na 0.246 0.754 0.750
2 Na 0.754 0.246 0.250
3 Cu 0.458 0.542 0.250
4 Cu 0.542 0.458 0.750
5 Te 0.367 0.633 0.027
6 Te 0.367 0.633 0.473
7 Te 0.633 0.367 0.527
8 Te 0.633 0.367 0.973
9 Ir 0.000 0.000 0.000
10 Ir 0.000 0.000 0.500
11 Se 0.064 0.936 0.250
12 Se 0.936 0.064 0.750

---

# 8
Below is crystalline NaCuTcIr at its relaxed geometry, with properties calculated at the PBE level.

Computed properties:
As for the spin magnetization: 0.00 μB per cell. The calculation puts the total DFT energy (no corrections) at -5.560 eV per atom. For the energy above the most stable polymorph in this dataset, the calculation gives 0.201 eV per formula unit.

Lattice parameters (Å, degrees): 4.370 4.370 4.370 60.00 60.00 60.00
Element x y z (fractional)
1 Na 0.000 0.000 0.000
2 Cu 0.750 0.750 0.750
3 Tc 0.500 0.500 0.500
4 Ir 0.250 0.250 0.250

---

# 9
Below is crystalline NaCuTcIr at its relaxed geometry, with properties calculated at the PBE level.

Computed properties:
As for the spin magnetization: 0.02 μB per cell. The calculation puts the total DFT energy (no corrections) at -5.611 eV per atom. For the energy above the most stable polymorph in this dataset, the calculation gives 0.000 eV per formula unit.

Lattice parameters (Å, degrees): 4.336 4.336 4.336 60.00 60.00 60.00
Element x y z (fractional)
1 Na 0.000 0.000 0.000
2 Cu 0.750 0.750 0.750
3 Tc 0.250 0.250 0.250
4 Ir 0.500 0.500 0.500

---

# 10
Below is crystalline NaCuTe3Ir at its relaxed geometry, with properties calculated at the PBE level.

Computed properties:
As for the spin magnetization: 0.01 μB per cell. The calculation puts the total DFT energy (no corrections) at -4.140 eV per atom.

Lattice parameters (Å, degrees): 7.212 7.212 10.413 90.00 90.00 147.97
Element x y z (fractional)
1 Na 0.232 0.768 0.750
2 Na 0.768 0.232 0.250
3 Cu 0.450 0.550 0.250
4 Cu 0.550 0.450 0.750
5 Te 0.072 0.928 0.250
6 Te 0.369 0.631 0.028
7 Te 0.369 0.631 0.472
8 Te 0.631 0.369 0.528
9 Te 0.631 0.369 0.972
10 Te 0.928 0.072 0.750
11 Ir 0.000 0.000 0.000
12 Ir 0.000 0.000 0.500

---

# 11
Below is crystalline NaCu3Te4Ir at its relaxed geometry, with properties calculated at the PBE level.

Computed properties:
As for the spin magnetization: 0.00 μB per cell. The calculation puts the total DFT energy (no corrections) at -3.747 eV per atom.

Lattice parameters (Å, degrees): 6.234 6.234 6.234 90.00 90.00 90.00
Element x y z (fractional)
1 Na 0.000 0.000 0.000
2 Cu 0.000 0.500 0.500
3 Cu 0.500 0.000 0.500
4 Cu 0.500 0.500 0.000
5 Te 0.264 0.264 0.264
6 Te 0.264 0.736 0.736
7 Te 0.736 0.264 0.736
8 Te 0.736 0.736 0.264
9 Ir 0.500 0.500 0.500

---

# 12
Below is crystalline NbCuIr2 at its relaxed geometry, with properties calculated at the PBE level.

Computed properties:
As for the spin magnetization: 0.04 μB per cell. The calculation puts the total DFT energy (no corrections) at -7.831 eV per atom. For the energy of formation, the calculation gives 50 meV/atom.

Lattice parameters (Å, degrees): 4.400 4.400 4.400 60.00 60.00 60.00
Element x y z (fractional)
1 Nb 0.000 0.000 0.000
2 Cu 0.250 0.250 0.250
3 Ir 0.500 0.500 0.500
4 Ir 0.750 0.750 0.750